# 1
Material: SmDy7Tl5
Method: DFT, PBE
State: relaxed

Geometry as CIF:
```
data_SmDy7Tl5
_symmetry_space_group_name_H-M 'P 1'
_symmetry_Int_Tables_number 1
_cell_length_a 6.525
_cell_length_b 8.338
_cell_length_c 8.338
_cell_angle_alpha 80.93
_cell_angle_beta 66.97
_cell_angle_gamma 66.97
loop_
_symmetry_equiv_pos_as_xyz
'x,y,z'
loop_
_atom_site_label
_atom_site_type_symbol
_atom_site_fract_x
_atom_site_fract_y
_atom_site_fract_z
Sm1 Sm 0.982 0.018 0.018
Dy1 Dy 0.638 0.362 0.362
Dy2 Dy 0.322 0.678 0.678
Dy3 Dy 0.997 0.344 0.662
Dy4 Dy 0.997 0.662 0.344
Dy5 Dy 0.272 0.228 0.228
Dy6 Dy 0.513 0.793 0.181
Dy7 Dy 0.513 0.181 0.793
Tl1 Tl 0.507 0.003 0.483
Tl2 Tl 0.007 0.003 0.483
Tl3 Tl 0.507 0.483 0.003
Tl4 Tl 0.007 0.483 0.003
Tl5 Tl 0.737 0.763 0.763
```

Properties
Density of states at the Fermi level (states/eV/cell): 15.749
ΔE_f (eV per atom): -0.1518

# 2
Material: Sm3Dy2Tl
Method: DFT, PBE
State: relaxed

Geometry as CIF:
```
data_Sm3Dy2Tl
_symmetry_space_group_name_H-M 'P 1'
_symmetry_Int_Tables_number 1
_cell_length_a 6.825
_cell_length_b 6.487
_cell_length_c 9.304
_cell_angle_alpha 98.60
_cell_angle_beta 111.52
_cell_angle_gamma 90.00
loop_
_symmetry_equiv_pos_as_xyz
'x,y,z'
loop_
_atom_site_label
_atom_site_type_symbol
_atom_site_fract_x
_atom_site_fract_y
_atom_site_fract_z
Sm1 Sm 0.772 0.250 0.000
Sm2 Sm 0.228 0.750 0.000
Sm3 Sm 0.052 0.041 0.337
Sm4 Sm 0.715 0.459 0.663
Sm5 Sm 0.285 0.541 0.337
Sm6 Sm 0.948 0.959 0.663
Dy1 Dy 0.769 0.573 0.324
Dy2 Dy 0.555 0.073 0.324
Dy3 Dy 0.445 0.927 0.676
Dy4 Dy 0.231 0.427 0.676
Tl1 Tl 0.719 0.750 0.000
Tl2 Tl 0.281 0.250 0.000
```

Properties
Density of states at the Fermi level (states/eV/cell): 12.216
ΔE_f (eV per atom): -0.0670
Distance to the lowest polymorph of the same formula (eV per atom): 0.041

# 3
Material: Sm2DyTl3
Method: DFT, PBE
State: relaxed

Geometry as CIF:
```
data_Sm2DyTl3
_symmetry_space_group_name_H-M 'P 1'
_symmetry_Int_Tables_number 1
_cell_length_a 3.722
_cell_length_b 6.744
_cell_length_c 14.632
_cell_angle_alpha 90.00
_cell_angle_beta 97.31
_cell_angle_gamma 90.00
loop_
_symmetry_equiv_pos_as_xyz
'x,y,z'
loop_
_atom_site_label
_atom_site_type_symbol
_atom_site_fract_x
_atom_site_fract_y
_atom_site_fract_z
Sm1 Sm 0.153 0.750 0.306
Sm2 Sm 0.847 0.250 0.694
Sm3 Sm 0.995 0.750 0.989
Sm4 Sm 0.005 0.250 0.011
Dy1 Dy 0.332 0.750 0.663
Dy2 Dy 0.668 0.250 0.337
Tl1 Tl 0.423 0.491 0.845
Tl2 Tl 0.577 0.509 0.155
Tl3 Tl 0.423 0.009 0.845
Tl4 Tl 0.577 0.991 0.155
Tl5 Tl 0.745 0.750 0.489
Tl6 Tl 0.255 0.250 0.511
```

Properties
Density of states at the Fermi level (states/eV/cell): 9.202
ΔE_f (eV per atom): -0.2355
Distance to the lowest polymorph of the same formula (eV per atom): 0.135

# 4
Material: Sm3DyTl2
Method: DFT, PBE
State: relaxed

Geometry as CIF:
```
data_Sm3DyTl2
_symmetry_space_group_name_H-M 'P 1'
_symmetry_Int_Tables_number 1
_cell_length_a 5.192
_cell_length_b 6.832
_cell_length_c 10.195
_cell_angle_alpha 90.00
_cell_angle_beta 90.00
_cell_angle_gamma 90.00
loop_
_symmetry_equiv_pos_as_xyz
'x,y,z'
loop_
_atom_site_label
_atom_site_type_symbol
_atom_site_fract_x
_atom_site_fract_y
_atom_site_fract_z
Sm1 Sm 0.000 0.454 0.961
Sm2 Sm 0.000 0.954 0.039
Sm3 Sm 0.500 0.683 0.187
Sm4 Sm 0.500 0.183 0.813
Sm5 Sm 0.000 0.318 0.319
Sm6 Sm 0.000 0.818 0.681
Dy1 Dy 0.500 0.543 0.540
Dy2 Dy 0.500 0.043 0.460
Tl1 Tl 0.500 0.708 0.863
Tl2 Tl 0.500 0.208 0.137
Tl3 Tl 0.000 0.294 0.635
Tl4 Tl 0.000 0.794 0.365
```

Properties
Density of states at the Fermi level (states/eV/cell): 12.910
ΔE_f (eV per atom): -0.2696
Distance to the lowest polymorph of the same formula (eV per atom): 0.000

# 5
Material: Sm2Dy3Tl
Method: DFT, PBE
State: relaxed

Geometry as CIF:
```
data_Sm2Dy3Tl
_symmetry_space_group_name_H-M 'P 1'
_symmetry_Int_Tables_number 1
_cell_length_a 3.468
_cell_length_b 6.431
_cell_length_c 9.497
_cell_angle_alpha 109.79
_cell_angle_beta 100.52
_cell_angle_gamma 90.00
loop_
_symmetry_equiv_pos_as_xyz
'x,y,z'
loop_
_atom_site_label
_atom_site_type_symbol
_atom_site_fract_x
_atom_site_fract_y
_atom_site_fract_z
Sm1 Sm 0.690 0.310 0.381
Sm2 Sm 0.310 0.929 0.619
Dy1 Dy 0.000 0.917 0.000
Dy2 Dy 0.364 0.489 0.728
Dy3 Dy 0.636 0.761 0.272
Tl1 Tl 0.500 0.337 0.000
```

Properties
Density of states at the Fermi level (states/eV/cell): 8.576
ΔE_f (eV per atom): 0.1214
Distance to the lowest polymorph of the same formula (eV per atom): 0.222

# 6
Material: SmDy6Tl6
Method: DFT, PBE
State: relaxed

Geometry as CIF:
```
data_SmDy6Tl6
_symmetry_space_group_name_H-M 'P 1'
_symmetry_Int_Tables_number 1
_cell_length_a 6.437
_cell_length_b 6.437
_cell_length_c 10.560
_cell_angle_alpha 90.00
_cell_angle_beta 90.00
_cell_angle_gamma 120.00
loop_
_symmetry_equiv_pos_as_xyz
'x,y,z'
loop_
_atom_site_label
_atom_site_type_symbol
_atom_site_fract_x
_atom_site_fract_y
_atom_site_fract_z
Sm1 Sm 0.000 0.000 0.000
Dy1 Dy 0.000 0.000 0.664
Dy2 Dy 0.000 0.000 0.336
Dy3 Dy 0.333 0.667 0.000
Dy4 Dy 0.667 0.333 0.000
Dy5 Dy 0.333 0.667 0.500
Dy6 Dy 0.667 0.333 0.500
Tl1 Tl 0.000 0.500 0.754
Tl2 Tl 0.500 0.000 0.754
Tl3 Tl 0.500 0.500 0.754
Tl4 Tl 0.500 0.000 0.246
Tl5 Tl 0.000 0.500 0.246
Tl6 Tl 0.500 0.500 0.246
```

Properties
Density of states at the Fermi level (states/eV/cell): 12.554
ΔE_f (eV per atom): -0.1900

# 7
Material: SmDyTl2
Method: DFT, PBE
State: relaxed

Geometry as CIF:
```
data_SmDyTl2
_symmetry_space_group_name_H-M 'P 1'
_symmetry_Int_Tables_number 1
_cell_length_a 3.795
_cell_length_b 3.795
_cell_length_c 9.917
_cell_angle_alpha 78.97
_cell_angle_beta 78.97
_cell_angle_gamma 60.00
loop_
_symmetry_equiv_pos_as_xyz
'x,y,z'
loop_
_atom_site_label
_atom_site_type_symbol
_atom_site_fract_x
_atom_site_fract_y
_atom_site_fract_z
Tl1 Tl 0.749 0.749 0.754
Tl2 Tl 0.251 0.251 0.246
Sm1 Sm 0.500 0.500 0.500
Dy1 Dy 0.000 0.000 0.000
```

Properties
Density of states at the Fermi level (states/eV/cell): 2.141
ΔE_f (eV per atom): -0.2634
Distance to the lowest polymorph of the same formula (eV per atom): 0.102

# 8
Material: SmDy5Tl8
Method: DFT, PBE
State: relaxed

Geometry as CIF:
```
data_SmDy5Tl8
_symmetry_space_group_name_H-M 'P 1'
_symmetry_Int_Tables_number 1
_cell_length_a 8.051
_cell_length_b 8.051
_cell_length_c 8.051
_cell_angle_alpha 109.79
_cell_angle_beta 108.83
_cell_angle_gamma 109.79
loop_
_symmetry_equiv_pos_as_xyz
'x,y,z'
loop_
_atom_site_label
_atom_site_type_symbol
_atom_site_fract_x
_atom_site_fract_y
_atom_site_fract_z
Sm1 Sm 0.250 0.500 0.750
Dy1 Dy 0.007 0.377 0.127
Dy2 Dy 0.873 0.880 0.250
Dy3 Dy 0.750 0.623 0.630
Dy4 Dy 0.500 0.000 0.500
Dy5 Dy 0.370 0.120 0.993
Tl1 Tl 0.124 0.753 0.043
Tl2 Tl 0.957 0.081 0.710
Tl3 Tl 0.783 0.250 0.368
Tl4 Tl 0.632 0.415 0.882
Tl5 Tl 0.467 0.585 0.217
Tl6 Tl 0.629 0.919 0.876
Tl7 Tl 0.290 0.247 0.371
Tl8 Tl 0.118 0.750 0.533
```

Properties
Density of states at the Fermi level (states/eV/cell): 11.742
ΔE_f (eV per atom): -0.2421

# 9
Material: Sm2Dy6Tl
Method: DFT, PBE
State: relaxed

Geometry as CIF:
```
data_Sm2Dy6Tl
_symmetry_space_group_name_H-M 'P 1'
_symmetry_Int_Tables_number 1
_cell_length_a 7.137
_cell_length_b 8.288
_cell_length_c 14.274
_cell_angle_alpha 136.59
_cell_angle_beta 90.00
_cell_angle_gamma 90.00
loop_
_symmetry_equiv_pos_as_xyz
'x,y,z'
loop_
_atom_site_label
_atom_site_type_symbol
_atom_site_fract_x
_atom_site_fract_y
_atom_site_fract_z
Sm1 Sm 0.500 0.202 0.236
Sm2 Sm 0.000 0.298 0.264
Sm3 Sm 0.000 0.702 0.736
Sm4 Sm 0.500 0.798 0.764
Dy1 Dy 0.000 0.246 0.815
Dy2 Dy 0.258 0.256 0.464
Dy3 Dy 0.242 0.244 0.036
Dy4 Dy 0.742 0.256 0.464
Dy5 Dy 0.758 0.244 0.036
Dy6 Dy 0.500 0.254 0.685
Dy7 Dy 0.000 0.754 0.185
Dy8 Dy 0.742 0.744 0.536
Dy9 Dy 0.758 0.756 0.964
Dy10 Dy 0.258 0.744 0.536
Dy11 Dy 0.242 0.756 0.964
Dy12 Dy 0.500 0.746 0.315
Tl1 Tl 0.500 0.500 0.000
Tl2 Tl 0.000 0.000 0.500
```

Properties
Density of states at the Fermi level (states/eV/cell): 25.219
ΔE_f (eV per atom): 0.0645
Distance to the lowest polymorph of the same formula (eV per atom): 0.064

# 10
Material: Sm7DyTl2
Method: DFT, PBE
State: relaxed

Geometry as CIF:
```
data_Sm7DyTl2
_symmetry_space_group_name_H-M 'P 1'
_symmetry_Int_Tables_number 1
_cell_length_a 5.352
_cell_length_b 9.245
_cell_length_c 9.245
_cell_angle_alpha 119.48
_cell_angle_beta 90.00
_cell_angle_gamma 90.00
loop_
_symmetry_equiv_pos_as_xyz
'x,y,z'
loop_
_atom_site_label
_atom_site_type_symbol
_atom_site_fract_x
_atom_site_fract_y
_atom_site_fract_z
Sm1 Sm 0.000 0.777 0.223
Sm2 Sm 0.000 0.223 0.777
Sm3 Sm 0.500 0.063 0.301
Sm4 Sm 0.500 0.937 0.699
Sm5 Sm 0.500 0.301 0.063
Sm6 Sm 0.500 0.699 0.937
Sm7 Sm 0.500 0.500 0.500
Dy1 Dy 0.000 0.000 0.000
Tl1 Tl 0.500 0.694 0.306
Tl2 Tl 0.500 0.306 0.694
```

Properties
Density of states at the Fermi level (states/eV/cell): 20.904
ΔE_f (eV per atom): 0.3478

# 11
Material: Sm8Dy2Tl
Method: DFT, PBE
State: relaxed

Geometry as CIF:
```
data_Sm8Dy2Tl
_symmetry_space_group_name_H-M 'P 1'
_symmetry_Int_Tables_number 1
_cell_length_a 5.024
_cell_length_b 8.031
_cell_length_c 9.458
_cell_angle_alpha 105.05
_cell_angle_beta 105.40
_cell_angle_gamma 90.00
loop_
_symmetry_equiv_pos_as_xyz
'x,y,z'
loop_
_atom_site_label
_atom_site_type_symbol
_atom_site_fract_x
_atom_site_fract_y
_atom_site_fract_z
Sm1 Sm 0.410 0.556 0.819
Sm2 Sm 0.680 0.909 0.360
Sm3 Sm 0.864 0.820 0.727
Sm4 Sm 0.955 0.275 0.910
Sm5 Sm 0.136 0.180 0.273
Sm6 Sm 0.320 0.091 0.640
Sm7 Sm 0.590 0.444 0.181
Sm8 Sm 0.045 0.725 0.090
Dy1 Dy 0.776 0.366 0.552
Dy2 Dy 0.224 0.634 0.448
Tl1 Tl 0.500 0.000 0.000
```

Properties
Density of states at the Fermi level (states/eV/cell): 14.801
ΔE_f (eV per atom): -0.0396
Distance to the lowest polymorph of the same formula (eV per atom): 0.000